P) Here is a relaxed DyAl3Cu crystal from the Alexandria database. Energies are from PBE.

Results
- crystal system = orthorhombic

Cell: 8.247 4.077 10.728 Å, 90.00 90.00 90.00°
Space group Pnma (No. 62)
Symmetry-distinct sites (fractional):
Dy  0.179  0.250  0.003 [4 per cell]
Al  0.062  0.250  0.590 [4 per cell]
Al  0.111  0.750  0.788 [4 per cell]
Al  0.143  0.750  0.216 [4 per cell]
Cu  0.109  0.250  0.362 [4 per cell]

Q) Here is a relaxed DyAl3Cu crystal from the Alexandria database. Energies are from PBE.

Results
- crystal system = tetragonal

Cell: 4.132 4.132 10.716 Å, 90.00 90.00 90.00°
Space group I4mm (No. 107)
Symmetry-distinct sites (fractional):
Dy  0.000  0.000  0.000 [2 per cell]
Al  0.000  0.000  0.595 [2 per cell]
Al  0.000  0.500  0.253 [4 per cell]
Cu  0.000  0.000  0.376 [2 per cell]

Stability ranking, top entry: Q); the second entry is 24 meV/atom less favorable.

P) Here is a relaxed DyAl4Cu2 crystal from the Alexandria database. Energies are from PBE.

Results
- crystal system = orthorhombic

Cell: 4.035 14.947 3.953 Å, 90.00 90.00 90.00°
Space group Cmmm (No. 65)
Symmetry-distinct sites (fractional):
Dy  0.000  0.000  0.000 [2 per cell]
Al  0.000  0.179  0.500 [4 per cell]
Al  0.000  0.318  0.000 [4 per cell]
Cu  0.000  0.419  0.500 [4 per cell]

Q) Here is a relaxed DyAl4Cu2 crystal from the Alexandria database. Energies are from PBE.

Results
- crystal system = orthorhombic

Cell: 16.869 4.181 6.599 Å, 90.00 90.00 90.00°
Space group Pnma (No. 62)
Symmetry-distinct sites (fractional):
Dy  0.139  0.250  0.011 [4 per cell]
Al  0.032  0.750  0.837 [4 per cell]
Al  0.072  0.250  0.494 [4 per cell]
Al  0.186  0.750  0.322 [4 per cell]
Al  0.193  0.750  0.721 [4 per cell]
Cu  0.039  0.750  0.247 [4 per cell]
Cu  0.219  0.250  0.525 [4 per cell]

Stability ranking, top entry: Q); the second entry is 68 meV/atom less favorable.

P) Here is a relaxed Dy2Al5Cu3 crystal from the Alexandria database. Energies are from PBE.

Results
- crystal system = monoclinic

Cell: 11.893 11.704 5.856 Å, 90.00 119.34 90.00°
Space group C2/c (No. 15)
Symmetry-distinct sites (fractional):
Dy  0.241  0.132  0.241 [8 per cell]
Al  0.000  0.000  0.250 [4 per cell]
Al  0.000  0.256  0.250 [4 per cell]
Al  0.000  0.256  0.750 [4 per cell]
Al  0.147  0.392  0.147 [8 per cell]
Cu  0.000  0.499  0.750 [4 per cell]
Cu  0.125  0.129  0.625 [8 per cell]

Q) Here is a relaxed Dy2Al5Cu3 crystal from the Alexandria database. Energies are from PBE.

Results
- crystal system = tetragonal

Cell: 4.185 4.185 10.358 Å, 90.00 90.00 90.00°
Space group P-4m2 (No. 115)
Symmetry-distinct sites (fractional):
Dy  0.000  0.500  0.236 [2 per cell]
Al  0.000  0.000  0.500 [1 per cell]
Al  0.000  0.500  0.658 [2 per cell]
Al  0.500  0.500  0.000 [1 per cell]
Al  0.500  0.500  0.500 [1 per cell]
Cu  0.000  0.000  0.000 [1 per cell]
Cu  0.000  0.500  0.881 [2 per cell]

Stability ranking, top entry: P); the second entry is 118 meV/atom less favorable.